Entry 1:
The following is a DFT calculation (PBE-GGA) of a geometry-optimized TiCu2Pd3 structure.

a b c (Å): 4.4874 7.0879 5.7224
angles (deg): 90.00 90.00 71.55
Positions (direct):
Cu  0.3329  0.3343  0.5000
Cu  0.6671  0.6657  0.5000
Cu  0.0000  0.0000  0.0000
Cu  0.0000  0.0000  0.5000
Pd  0.1700  0.6599  0.7509
Pd  0.8300  0.3401  0.2491
Pd  0.1700  0.6599  0.2491
Pd  0.5000  0.0000  0.2567
Pd  0.5000  0.0000  0.7433
Pd  0.8300  0.3401  0.7509
Ti  0.3399  0.3202  0.0000
Ti  0.6601  0.6798  0.0000

Size of the total moment: 0.00 μB per formula unit
Crystal system: orthorhombic
Energy relative to the lowest polymorph listed for this composition: 0 meV per atom
E: -5.645 eV/atom
Energy of formation: -367 meV per atom

Entry 2:
The following is a DFT calculation (PBE-GGA) of a geometry-optimized Y2Er3Tm6Mg structure.

a b c (Å): 6.0387 6.0387 11.5872
angles (deg): 95.02 95.02 120.02
Positions (direct):
Mg  0.0000  0.0000  0.0000
Y  0.3337  0.6663  0.0000
Y  0.6663  0.3337  0.0000
Er  0.1661  0.8339  0.5000
Er  0.5000  0.5000  0.5000
Er  0.8339  0.1661  0.5000
Tm  0.4154  0.0827  0.2502
Tm  0.5846  0.9173  0.7498
Tm  0.0827  0.4154  0.2502
Tm  0.7497  0.7497  0.2511
Tm  0.2503  0.2503  0.7489
Tm  0.9173  0.5846  0.7498

Size of the total moment: 0.00 μB per formula unit
Crystal system: monoclinic
E: -4.552 eV/atom
Energy of formation: 35 meV per atom

Entry 3:
The following is a DFT calculation (PBE-GGA) of a geometry-optimized Sm2PaRu3 structure.

a b c (Å): 4.9694 7.6468 6.9842
angles (deg): 89.97 89.92 71.04
Positions (direct):
Ru  0.5002  0.0000  0.7749
Ru  0.8244  0.3522  0.2199
Ru  0.8234  0.3522  0.7801
Ru  0.1766  0.6478  0.2199
Ru  0.4998  0.0000  0.2251
Ru  0.1756  0.6478  0.7801
Sm  0.6646  0.6708  0.5000
Sm  0.0000  0.0000  0.5000
Sm  0.3354  0.3292  0.5000
Sm  0.0000  0.0000  0.0000
Pa  0.3348  0.3304  0.0000
Pa  0.6652  0.6696  0.0000

Size of the total moment: 0.00 μB per formula unit
Crystal system: monoclinic
Energy relative to the lowest polymorph listed for this composition: 0 meV per atom
E: -8.163 eV/atom
Energy of formation: -370 meV per atom

Entry 4:
The following is a DFT calculation (PBE-GGA) of a geometry-optimized BaIn6Pd2 structure.

a b c (Å): 9.3135 9.3135 9.3135
angles (deg): 60.00 60.00 60.00
Positions (direct):
Pd  0.1250  0.1250  0.1250
Pd  0.1250  0.1250  0.6250
Pd  0.1250  0.6250  0.1250
Pd  0.6250  0.1250  0.1250
In  0.2275  0.2275  0.7725
In  0.2275  0.7725  0.7725
In  0.7725  0.2275  0.7725
In  0.4775  0.0225  0.4775
In  0.2275  0.7725  0.2275
In  0.0225  0.0225  0.4775
In  0.0225  0.4775  0.4775
In  0.0225  0.4775  0.0225
In  0.4775  0.4775  0.0225
In  0.4775  0.0225  0.0225
In  0.7725  0.2275  0.2275
In  0.7725  0.7725  0.2275
Ba  0.5000  0.5000  0.5000
Ba  0.7500  0.7500  0.7500

Size of the total moment: 0.00 μB per formula unit
Crystal system: cubic
E: -3.313 eV/atom
Energy of formation: -119 meV per atom

Entry 5:
The following is a DFT calculation (PBE-GGA) of a geometry-optimized ZrCoAg3 structure.

a b c (Å): 4.7013 4.7013 4.7013
angles (deg): 90.00 90.00 90.00
Positions (direct):
Zr  0.5000  0.5000  0.5000
Ag  0.0000  0.0000  0.5000
Ag  0.5000  0.0000  0.0000
Ag  0.0000  0.5000  0.0000
Co  0.0000  0.0000  0.0000

Size of the total moment: 0.00 μB per formula unit
Crystal system: cubic
E: -3.910 eV/atom
Energy of formation: 931 meV per atom

Entry 6:
The following is a DFT calculation (PBE-GGA) of a geometry-optimized Mg3CdGa3 structure.

a b c (Å): 7.5697 7.5697 7.5697
angles (deg): 90.00 90.00 90.00
Positions (direct):
Ga  0.0000  0.5000  0.2500
Ga  0.5000  0.7500  0.0000
Ga  0.7500  0.0000  0.5000
Ga  0.0000  0.5000  0.7500
Ga  0.5000  0.2500  0.0000
Ga  0.2500  0.0000  0.5000
Mg  0.5000  0.0000  0.2500
Mg  0.5000  0.0000  0.7500
Mg  0.0000  0.2500  0.5000
Mg  0.7500  0.5000  0.0000
Mg  0.0000  0.7500  0.5000
Mg  0.2500  0.5000  0.0000
Cd  0.5000  0.5000  0.5000
Cd  0.0000  0.0000  0.0000

Size of the total moment: 0.00 μB per formula unit
Crystal system: cubic
Energy relative to the lowest polymorph listed for this composition: 591 meV per atom
E: -1.601 eV/atom
Energy of formation: 511 meV per atom

Entry 7:
The following is a DFT calculation (PBE-GGA) of a geometry-optimized GaSiAu3 structure.

a b c (Å): 4.8284 4.8284 4.8284
angles (deg): 90.00 90.00 90.00
Positions (direct):
Au  0.0000  0.5000  0.0000
Au  0.0000  0.0000  0.5000
Au  0.5000  0.0000  0.0000
Ga  0.5000  0.5000  0.5000
Si  0.0000  0.0000  0.0000

Size of the total moment: 0.00 μB per formula unit
Crystal system: cubic
Energy relative to the lowest polymorph listed for this composition: 162 meV per atom
E: -3.511 eV/atom
Formation energy (no corrections): 0.1450 eV per atom

Entry 8:
The following is a DFT calculation (PBE-GGA) of a geometry-optimized Cu2TeSe structure.

a b c (Å): 4.4717 4.3411 4.3399
angles (deg): 72.55 90.00 90.00
Positions (direct):
Cu  0.5000  0.2292  0.2291
Cu  0.0000  0.0329  0.0330
Te  0.5000  0.8444  0.8444
Se  0.0000  0.3935  0.3934

Size of the total moment: 0.00 μB per formula unit
Crystal system: orthorhombic
Energy relative to the lowest polymorph listed for this composition: 44 meV per atom
E: -3.743 eV/atom
Formation energy (no corrections): -0.0387 eV per atom

Entry 9:
The following is a DFT calculation (PBE-GGA) of a geometry-optimized BaUSe2 structure.

a b c (Å): 4.2723 4.2723 7.9055
angles (deg): 74.32 74.32 60.00
Positions (direct):
Ba  0.5000  0.5000  0.5000
Se  0.7383  0.7383  0.7850
Se  0.2617  0.2617  0.2150
U  0.0000  0.0000  0.0000

Size of the total moment: 3.19 μB per formula unit
Crystal system: trigonal
E: -6.440 eV/atom
Formation energy (no corrections): -1.3947 eV per atom

Entry 10:
The following is a DFT calculation (PBE-GGA) of a geometry-optimized FeGe4Ir structure.

a b c (Å): 5.7955 5.7953 5.9284
angles (deg): 90.00 90.00 90.00
Positions (direct):
Ge  0.7500  0.2500  0.7321
Ge  0.7500  0.7500  0.7322
Ge  0.7500  0.2500  0.2678
Ge  0.7500  0.7500  0.2679
Ge  0.2500  0.7500  0.7322
Ge  0.2500  0.7500  0.2679
Ge  0.2500  0.2500  0.7321
Ge  0.2500  0.2500  0.2678
Ir  0.0000  0.0000  0.0000
Ir  0.5000  0.5000  0.0000
Fe  0.0000  0.5000  0.5000
Fe  0.5000  0.0000  0.5000

Size of the total moment: 0.66 μB per formula unit
Crystal system: tetragonal
E: -6.040 eV/atom
Energy of formation: -74 meV per atom

Entry 11:
The following is a DFT calculation (PBE-GGA) of a geometry-optimized Mg4Tl3Bi4 structure.

a b c (Å): 5.2066 4.7010 14.9171
angles (deg): 99.07 100.05 90.00
Positions (direct):
Bi  0.8074  0.3074  0.6147
Bi  0.4471  0.4471  0.8942
Bi  0.5529  0.5529  0.1058
Bi  0.1926  0.6926  0.3853
Mg  0.0938  0.5938  0.1876
Mg  0.7449  0.7449  0.4897
Mg  0.9062  0.4062  0.8124
Mg  0.2551  0.2551  0.5103
Tl  0.6451  0.1451  0.2901
Tl  0.3549  0.8549  0.7099
Tl  0.0000  0.0000  0.0000

Size of the total moment: 0.00 μB per formula unit
Crystal system: orthorhombic
E: -2.690 eV/atom
Energy of formation: -54 meV per atom

Entry 12:
The following is a DFT calculation (PBE-GGA) of a geometry-optimized Li4ZrPb5 structure.

a b c (Å): 3.4776 3.4776 18.8469
angles (deg): 90.00 90.00 90.00
Positions (direct):
Li  0.0000  0.0000  0.4031
Li  0.0000  0.0000  0.7938
Li  0.0000  0.0000  0.2062
Li  0.0000  0.0000  0.5969
Zr  0.0000  0.0000  0.0000
Pb  0.5000  0.5000  0.3045
Pb  0.5000  0.5000  0.6955
Pb  0.5000  0.5000  0.8891
Pb  0.5000  0.5000  0.5000
Pb  0.5000  0.5000  0.1109

Size of the total moment: 0.00 μB per formula unit
Crystal system: tetragonal
E: -3.691 eV/atom
Energy of formation: -216 meV per atom

What did the first record say?
The following is a DFT calculation (PBE-GGA) of a geometry-optimized TiCu2Pd3 structure.

a b c (Å): 4.4874 7.0879 5.7224
angles (deg): 90.00 90.00 71.55
Positions (direct):
Cu  0.3329  0.3343  0.5000
Cu  0.6671  0.6657  0.5000
Cu  0.0000  0.0000  0.0000
Cu  0.0000  0.0000  0.5000
Pd  0.1700  0.6599  0.7509
Pd  0.8300  0.3401  0.2491
Pd  0.1700  0.6599  0.2491
Pd  0.5000  0.0000  0.2567
Pd  0.5000  0.0000  0.7433
Pd  0.8300  0.3401  0.7509
Ti  0.3399  0.3202  0.0000
Ti  0.6601  0.6798  0.0000

Size of the total moment: 0.00 μB per formula unit
Crystal system: orthorhombic
Energy relative to the lowest polymorph listed for this composition: 0 meV per atom
E: -5.645 eV/atom
Energy of formation: -367 meV per atom

Q: Among the records above, which one has the highest size of the total moment?
A: BaUSe2

Q: Look up the size of the total moment of the eighth one.
A: 0.00 μB per formula unit

Q: Look up the E of the twelfth one.
A: -3.691 eV/atom